The following is a DFT calculation (PBE) of crystalline CoHOs at its relaxed geometry.

Cell: 2.652 9.565 4.381 Å, 90.00 90.00 90.00°
Space group Cmcm (No. 63)
One atom of each set of equivalent atoms:
Co (0.000, 0.061, 0.250) x4
H (0.000, 0.500, 0.000) x4
Os (0.000, 0.212, 0.750) x4

Values from the calculation:
Excess energy over the best structure of this formula in the dataset (eV/atom): 0.074
VASP energy (Ry/atom): -0.5124
Calculated density (g cm⁻³): 15.0
Spin magnetization (μB/f.u.): 0.0